Entry 1:
Compound: Th2CoAu3
Source: Alexandria via LeMat-Bulk
Functional: GGA-PBE
Structure: relaxed

Lattice parameters (Å, degrees): 3.646 4.896 7.595 90.00 90.00 90.00
Fractional positions:
Th1 0.000 0.000 0.000
Th2 0.000 0.500 0.468
Co1 0.500 0.000 0.255
Au1 0.500 0.000 0.610
Au2 0.500 0.500 0.159
Au3 0.500 0.500 0.799

Properties
- ΔH_f (0 K): -50.0 kJ/mol of atoms
- Uncorrected energy: -34.9 eV per cell
- Size of the total moment: 0.0 μB per cell

---

Entry 2:
Compound: Th5CoAu2
Source: Alexandria via LeMat-Bulk
Functional: GGA-PBE
Structure: relaxed

Lattice parameters (Å, degrees): 8.728 11.850 4.234 90.00 90.00 90.00
Fractional positions:
Th1 0.000 0.000 0.000
Th2 0.141 0.298 0.000
Th3 0.178 0.572 0.500
Th4 0.322 0.072 0.500
Th5 0.359 0.798 0.000
Th6 0.500 0.500 0.000
Th7 0.641 0.202 0.000
Th8 0.678 0.928 0.500
Th9 0.822 0.428 0.500
Th10 0.859 0.702 0.000
Co1 0.000 0.500 0.000
Co2 0.500 0.000 0.000
Au1 0.082 0.825 0.500
Au2 0.418 0.325 0.500
Au3 0.582 0.675 0.500
Au4 0.918 0.175 0.500

Properties
- ΔH_f (0 K): -37.9 kJ/mol of atoms
- Uncorrected energy: -107.8 eV per cell
- Size of the total moment: 0.0 μB per cell

---

Entry 3:
Compound: Th2Co2Au
Source: Alexandria via LeMat-Bulk
Functional: GGA-PBE
Structure: relaxed

Lattice parameters (Å, degrees): 7.360 7.360 3.681 90.00 90.00 90.00
Fractional positions:
Th1 0.173 0.327 0.000
Th2 0.327 0.827 0.000
Th3 0.673 0.173 0.000
Th4 0.827 0.673 0.000
Co1 0.128 0.628 0.500
Co2 0.372 0.128 0.500
Co3 0.628 0.872 0.500
Co4 0.872 0.372 0.500
Au1 0.000 0.000 0.500
Au2 0.500 0.500 0.500

Properties
- ΔH_f (0 K): -44.2 kJ/mol of atoms
- Uncorrected energy: -69.2 eV per cell
- Size of the total moment: 0.0 μB per cell

---

Copy entry 3 word for word.
Compound: Th2Co2Au
Source: Alexandria via LeMat-Bulk
Functional: GGA-PBE
Structure: relaxed

Lattice parameters (Å, degrees): 7.360 7.360 3.681 90.00 90.00 90.00
Fractional positions:
Th1 0.173 0.327 0.000
Th2 0.327 0.827 0.000
Th3 0.673 0.173 0.000
Th4 0.827 0.673 0.000
Co1 0.128 0.628 0.500
Co2 0.372 0.128 0.500
Co3 0.628 0.872 0.500
Co4 0.872 0.372 0.500
Au1 0.000 0.000 0.500
Au2 0.500 0.500 0.500

Properties
- ΔH_f (0 K): -44.2 kJ/mol of atoms
- Uncorrected energy: -69.2 eV per cell
- Size of the total moment: 0.0 μB per cell

---

size of the total moment of number 3 (Th2Co2Au)? 0.0 μB per cell